(1)
MnCl3 after structural relaxation. Source: Alexandria, functional PBE-GGA.

## Properties
**Raw total energy**: -34.60 eV for the cell shown
**Formation energy from raw total energies**: -648 meV/atom
**Crystal system**: orthorhombic
**Symmetry**: No. 63
**Total magnetic moment**: 5.0 μB/f.u.

Lattice parameters (Å, degrees): 10.3794 10.3794 4.1414 90.00 90.00 143.10
With the nearest neighbours (Å) after each atom.
Fractional coordinates of all 8 atoms:
Mn: 0.2259 0.7741 0.7500  6 Cl 2.48-2.72
Mn: 0.7741 0.2259 0.2500  6 Cl 2.48-2.72
Cl: 0.9832 0.0168 0.2500  2 Cl 2.17
Cl: 0.0168 0.9832 0.7500  2 Cl 2.17
Cl: 0.4206 0.0540 0.2500  3 Mn 2.48-2.72
Cl: 0.5794 0.9460 0.7500  3 Mn 2.48-2.72
Cl: 0.9460 0.5794 0.2500  3 Mn 2.48-2.72
Cl: 0.0540 0.4206 0.7500  3 Mn 2.48-2.72

(2)
Mn2Cl after structural relaxation. Source: Alexandria, functional PBE-GGA.

## Properties
**Raw total energy**: -39.25 eV for the cell shown
**Formation energy from raw total energies**: 187 meV/atom
**Crystal system**: monoclinic
**Symmetry**: No. 8
**Total magnetic moment**: 7.9 μB/f.u.

Lattice parameters (Å, degrees): 4.4514 4.4514 9.1328 88.74 88.74 40.27
With the nearest neighbours (Å) after each atom.
Fractional coordinates of all 6 atoms:
Mn: 0.6112 0.6112 0.7035  5 Mn 2.51-2.65
Mn: 0.6111 0.6111 0.4128  3 Cl 2.54-2.63, 1 Mn 2.65
Mn: 0.8890 0.8890 0.5923  3 Mn 2.51-2.63
Mn: 0.3378 0.3378 0.8537  3 Cl 2.52-2.65, 3 Mn 2.64-2.82
Cl: 0.0613 0.0613 0.9693  3 Mn 2.52-2.65
Cl: 0.3230 0.3230 0.3017  3 Mn 2.54-2.63

(3)
Mn2Cl after structural relaxation. Source: Alexandria, functional PBE-GGA.

## Properties
**Raw total energy**: -41.42 eV for the cell shown
**Formation energy from raw total energies**: -175 meV/atom
**Crystal system**: orthorhombic
**Symmetry**: No. 63
**Total magnetic moment**: 1.1 μB/f.u.

Lattice parameters (Å, degrees): 8.4956 8.4956 4.1356 90.00 90.00 158.09
With the nearest neighbours (Å) after each atom.
Fractional coordinates of all 6 atoms:
Mn: 0.0692 0.9308 0.7500  6 Mn 2.50-2.65, 2 Cl 2.53
Mn: 0.4551 0.5449 0.7500  2 Cl 2.47, 8 Mn 2.50-2.65
Mn: 0.5449 0.4551 0.2500  2 Cl 2.47, 8 Mn 2.50-2.65
Mn: 0.9308 0.0692 0.2500  6 Mn 2.50-2.65, 2 Cl 2.53
Cl: 0.8431 0.1569 0.7500  4 Mn 2.47-2.53
Cl: 0.1569 0.8431 0.2500  4 Mn 2.47-2.53

(4)
MnCl after structural relaxation. Source: Alexandria, functional PBE-GGA.

## Properties
**Raw total energy**: -41.72 eV for the cell shown
**Formation energy from raw total energies**: 293 meV/atom
**Crystal system**: hexagonal
**Symmetry**: No. 194
**Total magnetic moment**: 4.2 μB/f.u.

Lattice parameters (Å, degrees): 4.3104 4.3104 12.2538 90.00 90.00 120.00
With the nearest neighbours (Å) after each atom.
Fractional coordinates of all 8 atoms:
Mn: 0.0000 0.0000 0.2500  3 Mn 2.49
Mn: 0.0000 0.0000 0.7500  3 Mn 2.49
Mn: 0.3333 0.6667 0.7500  3 Mn 2.49
Mn: 0.6667 0.3333 0.2500  3 Mn 2.49
Cl: 0.3333 0.6667 0.1241  6 Mn 2.93, 1 Cl 3.09
Cl: 0.6667 0.3333 0.6241  6 Mn 2.93, 1 Cl 3.09
Cl: 0.6667 0.3333 0.8759  6 Mn 2.93, 1 Cl 3.09
Cl: 0.3333 0.6667 0.3759  6 Mn 2.93, 1 Cl 3.09

(5)
MnCl after structural relaxation. Source: Alexandria, functional PBE-GGA.

## Properties
**Raw total energy**: -65.08 eV for the cell shown
**Formation energy from raw total energies**: 85 meV/atom
**Crystal system**: hexagonal
**Symmetry**: No. 176
**Total magnetic moment**: 0.9 μB/f.u.

Lattice parameters (Å, degrees): 9.5511 9.5511 3.2079 90.00 90.00 120.00
With the nearest neighbours (Å) after each atom.
Fractional coordinates of all 12 atoms:
Mn: 0.0094 0.4337 0.2500  2 Mn 2.11, 1 Cl 2.29
Mn: 0.5757 0.0094 0.7500  2 Mn 2.11, 1 Cl 2.29
Mn: 0.5663 0.5757 0.2500  2 Mn 2.11, 1 Cl 2.29
Mn: 0.9906 0.5663 0.7500  2 Mn 2.11, 1 Cl 2.29
Mn: 0.4243 0.9906 0.2500  2 Mn 2.11, 1 Cl 2.29
Mn: 0.4337 0.4243 0.7500  2 Mn 2.11, 1 Cl 2.29
Cl: 0.7782 0.1864 0.2500  3 Mn 2.29-2.43
Cl: 0.5918 0.7782 0.7500  3 Mn 2.29-2.43
Cl: 0.8136 0.5918 0.2500  3 Mn 2.29-2.43
Cl: 0.2218 0.8136 0.7500  3 Mn 2.29-2.43
Cl: 0.4082 0.2218 0.2500  3 Mn 2.29-2.43
Cl: 0.1864 0.4082 0.7500  3 Mn 2.29-2.43

(6)
Mn3Cl after structural relaxation. Source: Alexandria, functional PBE-GGA.

## Properties
**Raw total energy**: -27.16 eV for the cell shown
**Formation energy from raw total energies**: 548 meV/atom
**Crystal system**: orthorhombic
**Symmetry**: No. 25
**Polymorph energy (0 for the lowest one)**: 1.64 eV/f.u.
**Total magnetic moment**: 11.7 μB/f.u.

Lattice parameters (Å, degrees): 2.9706 4.5672 4.8791 90.00 90.00 90.00
With the nearest neighbours (Å) after each atom.
Fractional coordinates of all 4 atoms:
Cl: 0.0000 0.0000 0.0469  4 Mn 2.57-2.69
Mn: 0.5000 0.0000 0.4772  2 Cl 2.57, 6 Mn 2.79-2.81
Mn: 0.5000 0.5000 0.8054  8 Mn 2.72-2.99, 4 Cl 2.97
Mn: 0.0000 0.5000 0.3372  2 Cl 2.69, 10 Mn 2.72-2.99

(7)
MnCl3 after structural relaxation. Source: Alexandria, functional PBE-GGA.

## Properties
**Raw total energy**: -35.89 eV for the cell shown
**Formation energy from raw total energies**: -809 meV/atom
**Crystal system**: orthorhombic
**Symmetry**: No. 63
**Total magnetic moment**: 4.0 μB/f.u.

Lattice parameters (Å, degrees): 8.9442 8.9442 3.1596 90.00 90.00 100.64
With the nearest neighbours (Å) after each atom.
Fractional coordinates of all 8 atoms:
Mn: 0.7085 0.2915 0.7500  6 Cl 2.41
Mn: 0.2915 0.7085 0.2500  6 Cl 2.41
Cl: 0.1592 0.8408 0.7500  2 Mn 2.41
Cl: 0.8408 0.1592 0.2500  2 Mn 2.41
Cl: 0.4959 0.7799 0.7500  2 Mn 2.41
Cl: 0.5041 0.2201 0.2500  2 Mn 2.41
Cl: 0.7799 0.4959 0.2500  2 Mn 2.41
Cl: 0.2201 0.5041 0.7500  2 Mn 2.41

(8)
MnCl after structural relaxation. Source: Alexandria, functional PBE-GGA.

## Properties
**Raw total energy**: -10.88 eV for the cell shown
**Formation energy from raw total energies**: 70 meV/atom
**Crystal system**: cubic
**Symmetry**: No. 221
**Total magnetic moment**: 4.1 μB/f.u.

Lattice parameters (Å, degrees): 3.2010 3.2010 3.2010 90.00 90.00 90.00
With the nearest neighbours (Å) after each atom.
Fractional coordinates of all 2 atoms:
Cl: 0.0000 0.0000 0.0000  8 Mn 2.77
Mn: 0.5000 0.5000 0.5000  8 Cl 2.77

(9)
MnCl after structural relaxation. Source: Alexandria, functional PBE-GGA.

## Properties
**Raw total energy**: -22.63 eV for the cell shown
**Formation energy from raw total energies**: -151 meV/atom
**Crystal system**: orthorhombic
**Symmetry**: No. 74
**Total magnetic moment**: 4.4 μB/f.u.

Lattice parameters (Å, degrees): 6.1536 6.1536 6.1536 149.28 107.81 80.47
With the nearest neighbours (Å) after each atom.
Fractional coordinates of all 4 atoms:
Cl: 0.3056 0.5556 0.2500  2 Mn 2.37
Cl: 0.6944 0.4444 0.7500  2 Mn 2.37
Mn: 0.8781 0.1281 0.2500  2 Cl 2.37
Mn: 0.1219 0.8719 0.7500  2 Cl 2.37

(10)
MnCl3 after structural relaxation. Source: Alexandria, functional PBE-GGA.

## Properties
**Raw total energy**: -15.99 eV for the cell shown
**Formation energy from raw total energies**: -320 meV/atom
**Crystal system**: tetragonal
**Symmetry**: No. 123
**Total magnetic moment**: 5.3 μB/f.u.

Lattice parameters (Å, degrees): 3.1449 3.1449 10.1315 90.00 90.00 90.00
With the nearest neighbours (Å) after each atom.
Fractional coordinates of all 4 atoms:
Mn: 0.5000 0.5000 0.7500  8 Cl 2.70
Cl: 0.0000 0.0000 0.9005  4 Mn 2.70
Cl: 0.5000 0.5000 0.2500  4 Cl 3.14
Cl: 0.0000 0.0000 0.5995  4 Mn 2.70

(11)
MnCl after structural relaxation. Source: Alexandria, functional PBE-GGA.

## Properties
**Raw total energy**: -73.05 eV for the cell shown
**Formation energy from raw total energies**: -580 meV/atom
**Crystal system**: trigonal
**Symmetry**: No. 164
**Total magnetic moment**: 3.0 μB/f.u.

Lattice parameters (Å, degrees): 3.6353 3.6353 23.2556 90.00 90.00 120.00
With the nearest neighbours (Å) after each atom.
Fractional coordinates of all 12 atoms:
Mn: 0.0000 0.0000 0.0794  3 Cl 2.55, 3 Mn 2.72
Mn: 0.0000 0.0000 0.9206  3 Cl 2.55, 3 Mn 2.72
Mn: 0.3333 0.6667 0.3615  6 Cl 2.53
Mn: 0.3333 0.6667 0.9954  3 Mn 2.11
Mn: 0.6667 0.3333 0.0046  3 Mn 2.11
Mn: 0.6667 0.3333 0.6385  6 Cl 2.53
Cl: 0.0000 0.0000 0.3004  3 Mn 2.53
Cl: 0.0000 0.0000 0.6996  3 Mn 2.53
Cl: 0.3333 0.6667 0.5774  3 Mn 2.53
Cl: 0.3333 0.6667 0.8586  3 Mn 2.55
Cl: 0.6667 0.3333 0.1414  3 Mn 2.55
Cl: 0.6667 0.3333 0.4226  3 Mn 2.53

(12)
MnCl after structural relaxation. Source: Alexandria, functional PBE-GGA.

## Properties
**Raw total energy**: -23.31 eV for the cell shown
**Formation energy from raw total energies**: -319 meV/atom
**Crystal system**: monoclinic
**Symmetry**: No. 11
**Total magnetic moment**: 4.1 μB/f.u.

Lattice parameters (Å, degrees): 3.1782 3.1782 8.6438 68.27 90.00 90.00
With the nearest neighbours (Å) after each atom.
Fractional coordinates of all 4 atoms:
Cl: 0.0000 0.9074 0.0934  4 Mn 2.61
Cl: 0.5000 0.8426 0.6566  4 Mn 2.61
Mn: 0.0000 0.5075 0.4914  4 Cl 2.61
Mn: 0.5000 0.2425 0.2586  4 Cl 2.61

Question: The highest formation energy from raw total energies belongs to which entry?
Answer: Mn3Cl